Entry 1:
This record from the Alexandria database describes crystalline Mn2CoHg at its relaxed geometry. The functional is PBE-GGA.

extended XYZ file:
```
4
Lattice="4.0753 0.0000 0.0000 -0.0017 4.0753 0.0000 0.0000 0.0000 3.6176" Properties=species:S:1:pos:R:3 pbc="T T T"
Mn 0.0000 0.0000 0.0000
Mn 2.0368 2.0376 0.0000
Hg -0.0009 2.0376 1.8088
Co 2.0376 0.0000 1.8088
```

Summary:
* SG: No. 123
* energy: -6.118 eV/atom
* energy relative to the elements: 1.27 eV/f.u.
* DOS at the Fermi energy: 2.46 states/eV/cell

Entry 2:
This record from the Alexandria database describes crystalline Pb2Au2Br at its relaxed geometry. The functional is PBE-GGA.

extended XYZ file:
```
10
Lattice="8.5174 0.0000 0.0000 0.0000 8.5174 0.0000 0.0000 0.0000 3.7211" Properties=species:S:1:pos:R:3 pbc="T T T"
Pb 6.9092 5.8669 0.0000
Pb 2.6505 6.9092 0.0000
Pb 1.6082 2.6505 0.0000
Pb 5.8669 1.6082 0.0000
Au 5.2449 7.5312 1.8606
Au 0.9862 5.2449 1.8606
Au 3.2725 0.9862 1.8606
Au 7.5312 3.2725 1.8606
Br 0.0000 0.0000 0.0000
Br 4.2587 4.2587 0.0000
```

Summary:
* SG: No. 127
* energy: -3.305 eV/atom
* uncorrected formation energy: -176 meV/atom
* DOS at the Fermi energy: 2.46 states/eV/cell

Entry 3:
This record from the Alexandria database describes crystalline AgRhSe2Br at its relaxed geometry. The functional is PBE-GGA.

extended XYZ file:
```
5
Lattice="-0.0051 4.3930 2.0373 -3.1597 1.5408 -3.3304 -4.0207 -1.4604 3.1390" Properties=species:S:1:pos:R:3 pbc="T T T"
Ag -3.5927 2.2367 0.9230
Se -1.5799 0.7704 -1.6652
Se -0.0025 2.1965 1.0187
Br -2.0103 -0.7302 1.5695
Rh 0.0000 0.0000 0.0000
```

Summary:
* SG: No. 123
* energy: -3.466 eV/atom
* uncorrected formation energy: 302 meV/atom
* DOS at the Fermi energy: 6.36 states/eV/cell

Entry 4:
This record from the Alexandria database describes crystalline Sm6TlIn at its relaxed geometry. The functional is PBE-GGA.

extended XYZ file:
```
8
Lattice="4.9389 0.0000 0.0000 0.0000 4.9389 0.0000 0.0000 0.0000 9.8828" Properties=species:S:1:pos:R:3 pbc="T T T"
Sm 2.4695 2.4695 4.9414
Sm 2.4695 0.0000 7.4259
Sm 0.0000 2.4695 7.4259
Sm 2.4695 0.0000 2.4569
Sm 0.0000 2.4695 2.4569
Sm 2.4695 2.4695 0.0000
Tl 0.0000 0.0000 4.9414
In 0.0000 0.0000 0.0000
```

Summary:
* SG: No. 123
* energy: -4.411 eV/atom
* energy relative to the elements: -1.87 eV/f.u.
* DOS at the Fermi energy: 12.14 states/eV/cell

Entry 5:
This record from the Alexandria database describes crystalline IrPdSe2Br at its relaxed geometry. The functional is PBE-GGA.

extended XYZ file:
```
5
Lattice="4.8274 0.0000 0.0000 0.0000 4.8274 0.0000 0.0000 0.0000 5.2570" Properties=species:S:1:pos:R:3 pbc="T T T"
Ir 0.0000 0.0000 0.0000
Se 2.4137 0.0000 0.0000
Se 0.0000 2.4137 0.0000
Pd 2.4137 2.4137 2.6285
Br 0.0000 0.0000 2.6285
```

Summary:
* SG: No. 123
* energy: -3.861 eV/atom
* uncorrected formation energy: 678 meV/atom
* DOS at the Fermi energy: 8.70 states/eV/cell

Entry 6:
This record from the Alexandria database describes crystalline Ac8Te4P3Pd at its relaxed geometry. The functional is PBE-GGA.

extended XYZ file:
```
16
Lattice="9.0839 0.0000 0.0000 0.0000 9.3074 0.1498 -4.5420 -4.5380 6.4278" Properties=species:S:1:pos:R:3 pbc="T T T"
Ac 6.7942 2.5099 0.1797
Ac -2.2522 2.2596 6.3979
Ac 4.5420 0.2597 3.3646
Ac 0.0000 4.5098 3.2129
Ac 2.2522 2.2596 6.3979
Ac 0.0000 0.2690 3.4002
Ac 2.2897 2.5099 0.1797
Ac 4.5420 4.5005 3.1773
Te 0.0000 0.0000 0.0000
Te -2.2710 -2.2690 3.2139
Te 2.2710 -2.2690 3.2139
Te 4.5420 0.0000 0.0000
P -2.2710 2.3847 3.2888
P 2.2710 2.3847 3.2888
P 4.5420 4.6537 0.0749
Pd 0.0000 4.6537 0.0749
```

Summary:
* SG: No. 166
* energy: -5.607 eV/atom
* uncorrected formation energy: -1429 meV/atom
* DOS at the Fermi energy: 10.60 states/eV/cell